Record 1
The following is a PBE-GGA calculation of a relaxed structure of Li2CaPd, from Alexandria.

Symmetry ... I-42d (122)
DOS(E_F) ... 0.377 states/eV per atom
E_form ... -0.201 eV/atom

Structure (POSCAR):
```
Li2CaPd
1.0
-2.050 2.050 10.215
2.050 -2.050 10.215
2.050 2.050 -10.215
Li Ca Pd
4 2 2
Direct
0.065 0.625 0.940
0.375 0.315 0.440
0.685 0.125 0.060
0.875 0.935 0.560
0.250 0.750 0.500
0.500 0.500 0.000
0.000 0.000 0.000
0.750 0.250 0.500
```



Record 2
The following is a PBE-GGA calculation of a relaxed structure of LiCaPd4, from Alexandria.

Symmetry ... F-43m (216)
DOS(E_F) ... 0.868 states/eV per atom
E_form ... -0.501 eV/atom

Structure (POSCAR):
```
LiCaPd4
1.0
0.000 3.792 3.792
3.792 0.000 3.792
3.792 3.792 0.000
Li Ca Pd
1 1 4
Direct
0.000 0.000 0.000
0.750 0.750 0.750
0.375 0.375 0.375
0.375 0.375 0.876
0.375 0.876 0.375
0.876 0.375 0.375
```